[1]
DFT (PBE) results for a relaxed K2Li2Os crystal.

Lattice parameters (Å, degrees): 3.403 3.403 23.309 90.00 90.00 90.00
Atoms (fractional coordinates):
K1 0.000 0.000 0.102
K2 0.000 0.000 0.898
K3 0.500 0.500 0.398
K4 0.500 0.500 0.602
Li1 0.000 0.500 0.250
Li2 0.000 0.500 0.750
Li3 0.500 0.000 0.250
Li4 0.500 0.000 0.750
Os1 0.000 0.000 0.500
Os2 0.500 0.500 0.000


[2]
DFT (PBE) results for a relaxed CuCl3 crystal.

## Properties
Raw formation energy   0.043 eV/atom

Lattice parameters (Å, degrees): 3.333 3.333 9.917 90.00 90.00 120.00
Atoms (fractional coordinates):
Cu1 0.000 0.000 0.000
Cl1 0.000 0.000 0.500
Cl2 0.333 0.667 0.153
Cl3 0.333 0.667 0.847


What are the uncorrected energy values for these records? In order: -23.70 -9.46 eV for the cell shown.
What are the DOS(E_F) values for these records? In order: 0.6136 0.7905 states/eV/atom.